# 1
The following is a DFT calculation (PBE) of a geometry-optimized CaTa4S8 structure.

```
13
Lattice="-0.561 6.755 -0.677 -2.555 -4.060 -4.836 -4.583 -1.908 5.954" Properties=species:S:1:pos:R:3 pbc="T T T"
S -1.359 0.874 1.196
Ta -5.574 2.314 4.282
S -6.253 -3.450 -0.320
S -2.459 -1.157 -1.344
Ta -2.466 2.132 -4.361
S -5.169 -1.415 2.230
S -6.340 -0.087 -0.754
S -1.447 4.237 0.762
S -5.240 1.944 1.786
Ta -0.651 0.563 -1.151
S -2.531 2.202 -1.788
Ca -3.569 -2.984 0.559
Ta -2.126 -1.527 -3.840
```

Properties
Spin magnetization, μB/atom: 0.000
Raw formation energy, kJ per mole of atoms: -115.65


# 2
The following is a DFT calculation (PBE) of a geometry-optimized CaTa3S structure.

```
5
Lattice="4.690 0.000 0.000 0.000 4.690 0.000 0.000 0.000 4.690" Properties=species:S:1:pos:R:3 pbc="T T T"
Ta 2.345 0.000 0.000
Ta 0.000 2.345 0.000
Ta 0.000 0.000 2.345
Ca 2.345 2.345 2.345
S 0.000 0.000 0.000
```

Properties
Energy above the lowest structure with this stoichiometry, eV/atom: 0.000
Spin magnetization, μB/atom: 0.000
Raw formation energy, kJ per mole of atoms: 30.83


# 3
The following is a DFT calculation (PBE) of a geometry-optimized CaTaS2 structure.

```
8
Lattice="-5.569 -0.736 -1.594 -0.378 -4.674 3.480 -4.713 0.766 5.415" Properties=species:S:1:pos:R:3 pbc="T T T"
Ca -4.032 -3.307 4.919
Ta -6.628 -1.338 2.382
S -5.745 -1.218 4.592
Ca -2.973 -2.705 0.943
S -8.757 -4.397 5.888
S -4.988 -0.890 0.712
Ta 0.000 0.000 0.000
S -1.828 -2.784 3.410
```

Properties
Energy above the lowest structure with this stoichiometry, eV/atom: 0.012
Spin magnetization, μB/atom: 0.136
Raw formation energy, kJ per mole of atoms: -78.25


# 4
The following is a DFT calculation (PBE) of a geometry-optimized CaTaTiS2 structure.

```
5
Lattice="4.858 0.000 0.000 0.000 4.768 0.000 0.000 0.000 4.858" Properties=species:S:1:pos:R:3 pbc="T T T"
S 2.429 0.000 0.000
Ca 0.000 0.000 0.000
Ti 0.000 2.384 0.000
Ta 2.429 2.384 2.429
S 0.000 0.000 2.429
```

Properties
Spin magnetization, μB/atom: 0.001
Raw formation energy, kJ per mole of atoms: 123.30


# 5
The following is a DFT calculation (PBE) of a geometry-optimized Ca2TaTl3S6 structure.

```
12
Lattice="-2.563 5.067 3.898 -4.056 -3.179 -4.570 0.230 -5.517 5.333" Properties=species:S:1:pos:R:3 pbc="T T T"
Tl -3.688 -4.537 -0.466
Tl -2.702 0.909 5.127
S -5.066 0.340 0.562
S -1.140 0.550 2.133
Ca -3.062 2.314 1.071
Ca -3.558 -0.426 -1.743
Tl -3.195 -1.814 2.330
S -1.324 -3.969 4.099
S -1.580 -1.877 -0.360
Ta 0.000 0.000 0.000
S -4.810 -1.751 5.021
S -5.250 -4.179 2.528
```

Properties
Spin magnetization, μB/atom: 0.000
Raw formation energy, kJ per mole of atoms: -109.00


# 6
The following is a DFT calculation (PBE) of a geometry-optimized Ca3TaTl3S8 structure.

```
15
Lattice="-4.783 -1.448 -6.365 1.984 -6.026 5.024 -5.261 5.882 2.614" Properties=species:S:1:pos:R:3 pbc="T T T"
Ca -4.030 -0.796 0.637
Ca -5.022 2.217 -1.875
S -2.580 1.364 -0.604
Tl 0.000 0.000 0.000
S -3.895 1.275 2.636
Ca -1.638 -0.072 3.819
Tl -1.399 -3.737 -0.671
S -2.772 -2.136 5.480
S -5.288 0.545 -4.207
S -6.363 0.268 -0.424
S -4.165 -2.866 -1.363
Tl 0.992 -3.013 2.512
S -1.696 -1.860 1.698
S -5.479 -2.956 1.877
Ta -2.630 2.941 1.307
```

Properties
Spin magnetization, μB/atom: 0.000
Raw formation energy, kJ per mole of atoms: -108.06


# 7
The following is a DFT calculation (PBE) of a geometry-optimized CaTaTlS4 structure.

```
14
Lattice="6.840 0.000 0.049 0.000 6.951 0.000 -2.621 0.000 8.405" Properties=species:S:1:pos:R:3 pbc="T T T"
S 4.889 3.514 6.047
Ta 0.736 5.213 2.762
S -0.670 0.039 2.407
S 4.889 6.912 6.047
S 1.450 5.213 4.908
Tl 2.641 5.213 7.879
Ta 3.483 1.738 5.692
S 1.670 1.738 7.073
Ca 0.075 1.738 4.652
S 2.549 5.213 1.380
S -0.670 3.437 2.407
Ca 4.144 5.213 3.802
Tl 1.578 1.738 0.575
S 2.769 1.738 3.546
```

Properties
Spin magnetization, μB/atom: 0.000
Raw formation energy, kJ per mole of atoms: -111.61


# 8
The following is a DFT calculation (PBE) of a geometry-optimized CaTbS2 structure.

```
4
Lattice="3.945 0.000 0.000 1.972 3.416 0.000 1.972 1.139 6.577" Properties=species:S:1:pos:R:3 pbc="T T T"
Ca 0.000 0.000 0.000
Tb 3.945 2.278 3.288
S 5.917 3.416 4.909
S 1.972 1.139 1.667
```

Properties
Energy above the lowest structure with this stoichiometry, eV/atom: 0.000
Spin magnetization, μB/atom: 0.000
Raw formation energy, kJ per mole of atoms: -198.83


# 9
The following is a DFT calculation (PBE) of a geometry-optimized CaTbS2 structure.

```
8
Lattice="-3.223 -0.367 2.202 0.268 -1.907 -3.415 5.503 -10.518 6.304" Properties=species:S:1:pos:R:3 pbc="T T T"
S 1.194 -5.386 0.851
Tb 0.000 0.000 0.000
Ca 3.231 -9.281 3.185
S -0.233 -2.659 -0.784
Tb 2.751 -5.259 3.152
Ca -0.684 -3.509 1.905
S 1.354 -7.404 4.240
S 2.781 -10.132 5.875
```

Properties
Energy above the lowest structure with this stoichiometry, eV/atom: 0.044
Spin magnetization, μB/atom: 0.000
Raw formation energy, kJ per mole of atoms: -194.55


# 10
The following is a DFT calculation (PBE) of a geometry-optimized CaTb3S4 structure.

```
8
Lattice="5.090 0.005 -2.256 -1.005 4.990 -2.256 -0.015 -0.018 6.837" Properties=species:S:1:pos:R:3 pbc="T T T"
Tb 3.559 1.242 1.162
S 3.064 3.746 0.050
Ca 0.000 0.000 0.000
Tb 0.512 3.735 1.162
S 1.007 1.231 2.274
Tb 2.043 2.497 -2.256
S 1.526 4.974 3.452
S 4.573 2.481 3.452
```

Properties
Spin magnetization, μB/atom: 0.000
Raw formation energy, kJ per mole of atoms: -196.64


# 11
The following is a DFT calculation (PBE) of a geometry-optimized CaTbS2 structure.

```
4
Lattice="3.893 0.000 0.000 1.947 3.372 0.000 1.947 1.124 6.887" Properties=species:S:1:pos:R:3 pbc="T T T"
S 1.947 1.124 1.643
S 1.947 1.124 5.214
Tb 5.840 3.372 6.818
Ca 3.893 2.248 3.542
```

Properties
Energy above the lowest structure with this stoichiometry, eV/atom: 0.097
Spin magnetization, μB/atom: 0.000
Raw formation energy, kJ per mole of atoms: -189.48


# 12
The following is a DFT calculation (PBE) of a geometry-optimized CaTb4S4 structure.

```
9
Lattice="-1.306 0.895 3.566 4.275 -2.911 4.431 5.333 6.412 2.477" Properties=species:S:1:pos:R:3 pbc="T T T"
S 3.354 -1.304 3.690
Ca -0.653 0.448 1.783
S 1.626 1.939 2.243
Tb 4.369 1.038 7.742
Tb 6.422 3.575 5.722
Tb 1.881 0.821 4.751
S 6.677 2.457 8.231
S 4.949 5.700 6.784
Tb 3.934 3.358 2.732
```

Properties
Spin magnetization, μB/atom: 0.000
Raw formation energy, kJ per mole of atoms: -171.56